Record 1
Density functional theory data (PBE-GGA) for La4Ta2Ni after structural relaxation.

abc: 5.5748 5.5748 7.9968
angles: 69.60 69.60 90.00
Fractional positions:
Ta  0.4049  0.4049  0.1902
Ta  0.5951  0.5951  0.8098
La  0.7985  0.7985  0.4030
La  0.5000  0.0000  0.0000
La  0.0000  0.5000  0.0000
La  0.2015  0.2015  0.5970
Ni  0.0000  0.0000  0.0000

* symmetry: I4/mmm, No. 139
* DOS(E_F): 11.77 states/eV/cell
* energy of formation: 0.5702 eV per atom

=====

Record 2
Density functional theory data (PBE-GGA) for LaTaNi2 after structural relaxation.

abc: 4.0780 3.3257 5.8073
angles: 73.22 90.00 90.00
Fractional positions:
Ni  0.5000  0.0361  0.3006
Ni  0.0000  0.1772  0.0215
La  0.5000  0.7803  0.8169
Ta  0.0000  0.5064  0.3610

* energy above the lowest structure with this stoichiometry: 0.52 eV per formula unit
* symmetry: Pm, No. 6
* DOS(E_F): 3.25 states/eV/cell
* energy of formation: -0.0414 eV per atom

=====

- Which formula does entry 1 have?
  La4Ta2Ni